! CeEr2CrN4, optimized geometry, DFT PBE; values from VASP
&SYSTEM
  ibrav = 0, nat = 16, ntyp = 4
/
ATOMIC_SPECIES
Ce 140.12 Ce.upf
Er 167.26 Er.upf
Cr 52.00 Cr.upf
N 14.01 N.upf
ATOMIC_POSITIONS crystal
Ce 0.097 0.903 0.750
Ce 0.903 0.097 0.250
Er 0.369 0.631 0.544
Er 0.369 0.631 0.956
Er 0.631 0.369 0.044
Er 0.631 0.369 0.456
Cr 0.165 0.835 0.250
Cr 0.835 0.165 0.750
N 0.000 0.000 0.000
N 0.000 0.000 0.500
N 0.267 0.733 0.128
N 0.267 0.733 0.372
N 0.428 0.572 0.750
N 0.572 0.428 0.250
N 0.733 0.267 0.628
N 0.733 0.267 0.872
CELL_PARAMETERS angstrom
1.682 -5.723 0.000
1.682 5.723 0.000
0.000 0.000 11.524
! V = 13.87 Å³ per atom
! Crystal system = orthorhombic
! E_form (uncorrected) = -1299 meV per atom